The following is a PBE calculation of a geometry-optimized NaPtBr structure, from Alexandria.

The uncorrected formation energy comes out at -0.188 eV/atom.

The structure belongs to space group P6_3/mmc (No. 194); the cell edges are 4.4081, 4.4081 and 8.3909 Å and the angles 90.00°, 90.00° and 120.00°. The asymmetric unit holds Na at (0.0000, 0.0000, 0.0000), Pt at (0.3333, 0.6667, 0.2500) and Br at (0.3333, 0.6667, 0.7500).